Density functional theory data (PBE) for a relaxed structure of HfPa2Ru.

Properties
* ΔE_f: 0.171 eV per atom
* E above lowest polymorph: 222.4 meV/atom

Cell and atoms, written as CIF:
```
data_HfPa2Ru
_symmetry_space_group_name_H-M 'R -3 m'
_symmetry_Int_Tables_number 166
_symmetry_space_group_name_Hall '-R 3 2"'
_cell_length_a 3.0823
_cell_length_b 3.0823
_cell_length_c 31.6409
_cell_angle_alpha 90.00
_cell_angle_beta 90.00
_cell_angle_gamma 120.00
loop_
_atom_site_label
_atom_site_type_symbol
_atom_site_fract_x
_atom_site_fract_y
_atom_site_fract_z
Hf1 Hf 0.0000 0.0000 0.0000
Pa1 Pa 0.0000 0.0000 0.0937
Ru1 Ru 0.0000 0.0000 0.5000
```

=====

Density functional theory data (PBE) for a relaxed structure of HfPaS2.

Properties
* E above lowest polymorph: 379.7 meV/atom

Cell and atoms, written as CIF:
```
data_HfPaS2
_symmetry_space_group_name_H-M 'R -3 m'
_symmetry_Int_Tables_number 166
_symmetry_space_group_name_Hall '-R 3 2"'
_cell_length_a 3.4596
_cell_length_b 3.4596
_cell_length_c 26.0279
_cell_angle_alpha 90.00
_cell_angle_beta 90.00
_cell_angle_gamma 120.00
loop_
_atom_site_label
_atom_site_type_symbol
_atom_site_fract_x
_atom_site_fract_y
_atom_site_fract_z
Hf1 Hf 0.0000 0.0000 0.0000
Pa1 Pa 0.0000 0.0000 0.5000
S1 S 0.0000 0.0000 0.3940
```

=====

Density functional theory data (PBE) for a relaxed structure of HfPa2S5.

Properties
* E above lowest polymorph: 102.5 meV/atom

Cell and atoms, written as CIF:
```
data_HfPa2S5
_symmetry_space_group_name_H-M 'C m c m'
_symmetry_Int_Tables_number 63
_symmetry_space_group_name_Hall '-C 2c 2'
_cell_length_a 5.310
_cell_length_b 12.297
_cell_length_c 12.460
_cell_angle_alpha 90.00
_cell_angle_beta 90.00
_cell_angle_gamma 90.00
loop_
_atom_site_label
_atom_site_type_symbol
_atom_site_fract_x
_atom_site_fract_y
_atom_site_fract_z
Hf1 Hf 0.000 0.216 0.250
Pa1 Pa 0.000 0.154 0.560
S1 S 0.000 0.051 0.127
S2 S 0.000 0.266 0.750
S3 S 0.000 0.335 0.076
```

=====

Density functional theory data (PBE) for a relaxed structure of HfPaS2.

Properties
* E above lowest polymorph: 0.0 meV/atom

Cell and atoms, written as CIF:
```
data_HfPaS2
_symmetry_space_group_name_H-M 'R 3 m'
_symmetry_Int_Tables_number 160
_symmetry_space_group_name_Hall 'R 3 -2"'
_cell_length_a 3.6071
_cell_length_b 3.6071
_cell_length_c 20.4324
_cell_angle_alpha 90.00
_cell_angle_beta 90.00
_cell_angle_gamma 120.00
loop_
_atom_site_label
_atom_site_type_symbol
_atom_site_fract_x
_atom_site_fract_y
_atom_site_fract_z
Hf1 Hf 0.0000 0.0000 0.0000
Pa1 Pa 0.0000 0.0000 0.8228
S1 S 0.0000 0.0000 0.4022
S2 S 0.0000 0.0000 0.5861
```

=====

Density functional theory data (PBE) for a relaxed structure of HfPa3S6.

Properties
* final energy: -0.57564 Ry per atom

Cell and atoms, written as CIF:
```
data_HfPa3S6
_symmetry_space_group_name_H-M 'R -3'
_symmetry_Int_Tables_number 148
_symmetry_space_group_name_Hall '-R 3'
_cell_length_a 11.8502
_cell_length_b 11.8502
_cell_length_c 11.0940
_cell_angle_alpha 90.00
_cell_angle_beta 90.00
_cell_angle_gamma 120.00
loop_
_atom_site_label
_atom_site_type_symbol
_atom_site_fract_x
_atom_site_fract_y
_atom_site_fract_z
Hf1 Hf 0.0000 0.0000 0.0000
Hf2 Hf 0.0000 0.0000 0.5000
Pa1 Pa 0.0493 0.7688 0.1474
S1 S 0.0335 0.8272 0.8926
S2 S 0.0552 0.8546 0.3795
```

=====

Density functional theory data (PBE) for a relaxed structure of HfPaS2.

Properties
* E above lowest polymorph: 36.0 meV/atom

Cell and atoms, written as CIF:
```
data_HfPaS2
_symmetry_space_group_name_H-M 'P n m a'
_symmetry_Int_Tables_number 62
_cell_length_a 6.167
_cell_length_b 6.833
_cell_length_c 7.302
_cell_angle_alpha 90.00
_cell_angle_beta 90.00
_cell_angle_gamma 90.00
loop_
_symmetry_equiv_pos_as_xyz
'x,y,z'
'-x,-y,-z'
'-x+1/2,-y,z+1/2'
'x+1/2,y,-z+1/2'
'x+1/2,-y+1/2,-z+1/2'
'-x+1/2,y+1/2,z+1/2'
'-x,y+1/2,-z'
'x,-y+1/2,z'
loop_
_atom_site_label
_atom_site_type_symbol
_atom_site_fract_x
_atom_site_fract_y
_atom_site_fract_z
Hf1 Hf 0.093 0.250 0.144
Pa1 Pa 0.078 0.250 0.626
S1 S 0.231 0.506 0.883
```

=====

Density functional theory data (PBE) for a relaxed structure of HfPa3S4.

Properties
* final energy: -0.61582 Ry per atom

Cell and atoms, written as CIF:
```
data_HfPa3S4
_symmetry_space_group_name_H-M 'P 1 2/c 1'
_symmetry_Int_Tables_number 13
_cell_length_a 6.707
_cell_length_b 7.605
_cell_length_c 6.600
_cell_angle_alpha 90.00
_cell_angle_beta 109.13
_cell_angle_gamma 90.00
loop_
_symmetry_equiv_pos_as_xyz
'x,y,z'
'-x,-y,-z'
'-x,y,-z+1/2'
'x,-y,z+1/2'
loop_
_atom_site_label
_atom_site_type_symbol
_atom_site_fract_x
_atom_site_fract_y
_atom_site_fract_z
Hf1 Hf 0.000 0.130 0.250
Pa1 Pa 0.000 0.375 0.750
Pa2 Pa 0.500 0.125 0.750
Pa3 Pa 0.500 0.374 0.250
S1 S 0.233 0.116 0.998
S2 S 0.242 0.368 0.493
```

=====

Density functional theory data (PBE) for a relaxed structure of HfPa2S5.

Properties
* E above lowest polymorph: 0.0 meV/atom

Cell and atoms, written as CIF:
```
data_HfPa2S5
_symmetry_space_group_name_H-M 'P n m a'
_symmetry_Int_Tables_number 62
_cell_length_a 11.464
_cell_length_b 7.724
_cell_length_c 7.194
_cell_angle_alpha 90.00
_cell_angle_beta 90.00
_cell_angle_gamma 90.00
loop_
_symmetry_equiv_pos_as_xyz
'x,y,z'
'-x,-y,-z'
'-x+1/2,-y,z+1/2'
'x+1/2,y,-z+1/2'
'x+1/2,-y+1/2,-z+1/2'
'-x+1/2,y+1/2,z+1/2'
'-x,y+1/2,-z'
'x,-y+1/2,z'
loop_
_atom_site_label
_atom_site_type_symbol
_atom_site_fract_x
_atom_site_fract_y
_atom_site_fract_z
Hf1 Hf 0.001 0.250 0.083
Pa1 Pa 0.178 0.001 0.467
S1 S 0.001 0.750 0.545
S2 S 0.090 0.039 0.834
S3 S 0.183 0.750 0.162
S4 S 0.214 0.250 0.189
```